Record 1
A plane-wave DFT calculation with PBE was carried out for a relaxed structure of ZrHgTe2.

Geometry as CIF:
```
data_ZrHgTe2
_chemical_formula_sum 'Zr4 Hg4 Te8'
_cell_length_a 25.322
_cell_length_b 4.001
_cell_length_c 8.354
_cell_angle_alpha 90.00
_cell_angle_beta 148.99
_cell_angle_gamma 90.00
_space_group_name_H-M_alt 'P 1'
_space_group_IT_number 1
loop_
_space_group_symop_operation_xyz
'x,y,z'
loop_
_atom_site_label
_atom_site_type_symbol
_atom_site_fract_x
_atom_site_fract_y
_atom_site_fract_z
Zr1 Zr 0.811 0.250 0.662
Zr2 Zr 0.189 0.750 0.338
Zr3 Zr 0.689 0.750 0.838
Zr4 Zr 0.311 0.250 0.162
Te1 Te 0.337 0.250 0.597
Te2 Te 0.663 0.750 0.403
Te3 Te 0.139 0.250 0.460
Te4 Te 0.361 0.750 0.040
Te5 Te 0.837 0.250 0.097
Te6 Te 0.861 0.750 0.540
Te7 Te 0.639 0.250 0.960
Te8 Te 0.163 0.750 0.903
Hg1 Hg 0.973 0.750 0.202
Hg2 Hg 0.473 0.750 0.702
Hg3 Hg 0.027 0.250 0.798
Hg4 Hg 0.527 0.250 0.298
```

Computed properties:
Total energy: -4.34 eV per atom
Symmetry: P2_1/m
Crystal system: monoclinic

***

Record 2
A plane-wave DFT calculation with PBE was carried out for a relaxed structure of Zr2Hg2Te.

Geometry as CIF:
```
data_Zr2Hg2Te
_chemical_formula_sum 'Zr2 Hg2 Te1'
_cell_length_a 3.937
_cell_length_b 3.937
_cell_length_c 8.313
_cell_angle_alpha 76.30
_cell_angle_beta 76.30
_cell_angle_gamma 90.00
_space_group_name_H-M_alt 'P 1'
_space_group_IT_number 1
loop_
_space_group_symop_operation_xyz
'x,y,z'
loop_
_atom_site_label
_atom_site_type_symbol
_atom_site_fract_x
_atom_site_fract_y
_atom_site_fract_z
Zr1 Zr 0.596 0.596 0.808
Zr2 Zr 0.404 0.404 0.192
Hg1 Hg 0.750 0.250 0.500
Hg2 Hg 0.250 0.750 0.500
Te1 Te 0.000 0.000 0.000
```

Computed properties:
Total energy: -4.26 eV per atom
Symmetry: I4/mmm
Crystal system: tetragonal

***

Record 3
A plane-wave DFT calculation with PBE was carried out for a relaxed structure of Zr2HgTe.

Geometry as CIF:
```
data_Zr2HgTe
_chemical_formula_sum 'Zr2 Hg1 Te1'
_cell_length_a 3.518
_cell_length_b 3.520
_cell_length_c 8.056
_cell_angle_alpha 64.01
_cell_angle_beta 90.00
_cell_angle_gamma 90.00
_space_group_name_H-M_alt 'P 1'
_space_group_IT_number 1
loop_
_space_group_symop_operation_xyz
'x,y,z'
loop_
_atom_site_label
_atom_site_type_symbol
_atom_site_fract_x
_atom_site_fract_y
_atom_site_fract_z
Zr1 Zr 0.000 0.014 0.986
Zr2 Zr 0.000 0.486 0.514
Te1 Te 0.500 0.750 0.750
Hg1 Hg 0.500 0.250 0.250
```

Computed properties:
Total energy: -5.49 eV per atom
Symmetry: P2/m
Crystal system: monoclinic

***

Record 4
A plane-wave DFT calculation with PBE was carried out for a relaxed structure of ZrHg2Te.

Geometry as CIF:
```
data_ZrHg2Te
_chemical_formula_sum 'Zr1 Hg2 Te1'
_cell_length_a 3.752
_cell_length_b 3.733
_cell_length_c 7.816
_cell_angle_alpha 61.47
_cell_angle_beta 90.00
_cell_angle_gamma 90.00
_space_group_name_H-M_alt 'P 1'
_space_group_IT_number 1
loop_
_space_group_symop_operation_xyz
'x,y,z'
loop_
_atom_site_label
_atom_site_type_symbol
_atom_site_fract_x
_atom_site_fract_y
_atom_site_fract_z
Te1 Te 0.000 0.467 0.533
Hg1 Hg 0.500 0.264 0.236
Hg2 Hg 0.000 0.005 0.995
Zr1 Zr 0.500 0.764 0.736
```

Computed properties:
Total energy: -3.36 eV per atom
Symmetry: Pmm2
Crystal system: orthorhombic

***

Record 5
A plane-wave DFT calculation with PBE was carried out for a relaxed structure of ZrHgTe.

Geometry as CIF:
```
data_ZrHgTe
_chemical_formula_sum 'Zr1 Hg1 Te1'
_cell_length_a 4.923
_cell_length_b 4.923
_cell_length_c 4.923
_cell_angle_alpha 60.00
_cell_angle_beta 60.00
_cell_angle_gamma 60.00
_space_group_name_H-M_alt 'P 1'
_space_group_IT_number 1
loop_
_space_group_symop_operation_xyz
'x,y,z'
loop_
_atom_site_label
_atom_site_type_symbol
_atom_site_fract_x
_atom_site_fract_y
_atom_site_fract_z
Te1 Te 0.750 0.750 0.750
Hg1 Hg 0.500 0.500 0.500
Zr1 Zr 0.000 0.000 0.000
```

Computed properties:
Total energy: -3.88 eV per atom
Symmetry: F-43m
Crystal system: cubic

***

Record 6
A plane-wave DFT calculation with PBE was carried out for a relaxed structure of ZrHgTe.

Geometry as CIF:
```
data_ZrHgTe
_chemical_formula_sum 'Zr1 Hg1 Te1'
_cell_length_a 4.893
_cell_length_b 4.893
_cell_length_c 3.834
_cell_angle_alpha 90.00
_cell_angle_beta 90.00
_cell_angle_gamma 120.00
_space_group_name_H-M_alt 'P 1'
_space_group_IT_number 1
loop_
_space_group_symop_operation_xyz
'x,y,z'
loop_
_atom_site_label
_atom_site_type_symbol
_atom_site_fract_x
_atom_site_fract_y
_atom_site_fract_z
Hg1 Hg 0.000 0.000 0.997
Zr1 Zr 0.333 0.667 0.511
Te1 Te 0.667 0.333 0.492
```

Computed properties:
Total energy: -4.10 eV per atom
Symmetry: P3m1
Crystal system: trigonal

***

Record 7
A plane-wave DFT calculation with PBE was carried out for a relaxed structure of ZrHg2Te.

Geometry as CIF:
```
data_ZrHg2Te
_chemical_formula_sum 'Zr1 Hg2 Te1'
_cell_length_a 5.138
_cell_length_b 5.138
_cell_length_c 5.138
_cell_angle_alpha 60.00
_cell_angle_beta 60.00
_cell_angle_gamma 60.00
_space_group_name_H-M_alt 'P 1'
_space_group_IT_number 1
loop_
_space_group_symop_operation_xyz
'x,y,z'
loop_
_atom_site_label
_atom_site_type_symbol
_atom_site_fract_x
_atom_site_fract_y
_atom_site_fract_z
Zr1 Zr 0.750 0.750 0.750
Te1 Te 0.500 0.500 0.500
Hg1 Hg 0.000 0.000 0.000
Hg2 Hg 0.250 0.250 0.250
```

Computed properties:
Total energy: -3.08 eV per atom
Symmetry: F-43m
Crystal system: cubic

***

Record 8
A plane-wave DFT calculation with PBE was carried out for a relaxed structure of ZrHgTe2.

Geometry as CIF:
```
data_ZrHgTe2
_chemical_formula_sum 'Zr2 Hg2 Te4'
_cell_length_a 6.060
_cell_length_b 6.060
_cell_length_c 7.676
_cell_angle_alpha 66.75
_cell_angle_beta 66.75
_cell_angle_gamma 90.00
_space_group_name_H-M_alt 'P 1'
_space_group_IT_number 1
loop_
_space_group_symop_operation_xyz
'x,y,z'
loop_
_atom_site_label
_atom_site_type_symbol
_atom_site_fract_x
_atom_site_fract_y
_atom_site_fract_z
Te1 Te 0.732 0.732 0.537
Te2 Te 0.268 0.268 0.463
Te3 Te 0.018 0.518 0.963
Te4 Te 0.482 0.982 0.037
Hg1 Hg 0.000 0.000 0.000
Hg2 Hg 0.750 0.250 0.500
Zr1 Zr 0.500 0.500 0.000
Zr2 Zr 0.250 0.750 0.500
```

Computed properties:
Total energy: -4.13 eV per atom
Symmetry: I4_1/amd
Crystal system: tetragonal

***

Record 9
A plane-wave DFT calculation with PBE was carried out for a relaxed structure of Zr2HgTe.

Geometry as CIF:
```
data_Zr2HgTe
_chemical_formula_sum 'Zr2 Hg1 Te1'
_cell_length_a 5.099
_cell_length_b 5.099
_cell_length_c 3.495
_cell_angle_alpha 90.00
_cell_angle_beta 90.00
_cell_angle_gamma 99.99
_space_group_name_H-M_alt 'P 1'
_space_group_IT_number 1
loop_
_space_group_symop_operation_xyz
'x,y,z'
loop_
_atom_site_label
_atom_site_type_symbol
_atom_site_fract_x
_atom_site_fract_y
_atom_site_fract_z
Te1 Te 0.000 0.500 0.500
Hg1 Hg 0.500 0.000 0.500
Zr1 Zr 0.500 0.500 0.000
Zr2 Zr 0.000 0.000 0.000
```

Computed properties:
Total energy: -5.48 eV per atom
Symmetry: Cmmm
Crystal system: orthorhombic

***

Record 10
A plane-wave DFT calculation with PBE was carried out for a relaxed structure of ZrHgTe2.

Geometry as CIF:
```
data_ZrHgTe2
_chemical_formula_sum 'Zr1 Hg1 Te2'
_cell_length_a 5.239
_cell_length_b 5.239
_cell_length_c 3.791
_cell_angle_alpha 89.78
_cell_angle_beta 89.78
_cell_angle_gamma 103.55
_space_group_name_H-M_alt 'P 1'
_space_group_IT_number 1
loop_
_space_group_symop_operation_xyz
'x,y,z'
loop_
_atom_site_label
_atom_site_type_symbol
_atom_site_fract_x
_atom_site_fract_y
_atom_site_fract_z
Te1 Te 0.500 0.500 0.000
Te2 Te 0.000 0.000 0.000
Zr1 Zr 0.500 0.000 0.500
Hg1 Hg 0.000 0.500 0.500
```

Computed properties:
Total energy: -3.92 eV per atom
Symmetry: C2/m
Crystal system: monoclinic

***

Record 11
A plane-wave DFT calculation with PBE was carried out for a relaxed structure of ZrHgTe2.

Geometry as CIF:
```
data_ZrHgTe2
_chemical_formula_sum 'Zr1 Hg1 Te2'
_cell_length_a 5.261
_cell_length_b 5.261
_cell_length_c 5.261
_cell_angle_alpha 60.00
_cell_angle_beta 60.00
_cell_angle_gamma 60.00
_space_group_name_H-M_alt 'P 1'
_space_group_IT_number 1
loop_
_space_group_symop_operation_xyz
'x,y,z'
loop_
_atom_site_label
_atom_site_type_symbol
_atom_site_fract_x
_atom_site_fract_y
_atom_site_fract_z
Te1 Te 0.000 0.000 0.000
Te2 Te 0.250 0.250 0.250
Hg1 Hg 0.500 0.500 0.500
Zr1 Zr 0.750 0.750 0.750
```

Computed properties:
Total energy: -3.71 eV per atom
Symmetry: F-43m
Crystal system: cubic

***

Record 12
A plane-wave DFT calculation with PBE was carried out for a relaxed structure of ZrHgTe2.

Geometry as CIF:
```
data_ZrHgTe2
_chemical_formula_sum 'Zr1 Hg1 Te2'
_cell_length_a 4.358
_cell_length_b 4.358
_cell_length_c 9.487
_cell_angle_alpha 90.00
_cell_angle_beta 90.00
_cell_angle_gamma 120.00
_space_group_name_H-M_alt 'P 1'
_space_group_IT_number 1
loop_
_space_group_symop_operation_xyz
'x,y,z'
loop_
_atom_site_label
_atom_site_type_symbol
_atom_site_fract_x
_atom_site_fract_y
_atom_site_fract_z
Zr1 Zr 0.333 0.667 0.450
Te1 Te 0.667 0.333 0.304
Te2 Te 0.333 0.667 0.723
Hg1 Hg 0.000 0.000 0.978
```

Computed properties:
Total energy: -4.01 eV per atom
Symmetry: P3m1
Crystal system: trigonal